Record 1
BaPIr2: relaxed, PBE.

Properties
formation enthalpy at 0 K	0.1133	eV per atom
calculated volume	22.969	Å³/atom

abc: 5.635 5.635 5.635
angles: 144.60 115.14 76.12
Fractional positions:
P1 0.750 0.250 0.500
Ir1 0.915 0.915 0.000
Ir2 0.585 0.585 0.000
Ba1 0.250 0.750 0.500



Record 2
BaP2Ir2: relaxed, PBE.

Properties
formation enthalpy at 0 K	-0.8364	eV per atom
calculated volume	20.310	Å³/atom

abc: 3.990 3.990 6.950
angles: 106.30 106.30 89.99
Fractional positions:
P1 0.348 0.348 0.703
P2 0.652 0.652 0.297
Ir1 0.251 0.749 0.500
Ir2 0.749 0.251 0.500
Ba1 0.000 0.000 0.000



Record 3
BaPIr2: relaxed, PBE.

Properties
formation enthalpy at 0 K	0.0729	eV per atom
calculated volume	19.934	Å³/atom

abc: 2.987 3.797 7.029
angles: 90.00 90.00 90.00
Fractional positions:
Ir1 0.500 0.500 0.269
Ir2 0.000 0.000 0.075
P1 0.000 0.000 0.404
Ba1 0.500 0.500 0.751